Computed, not measured: Sb2TePtI after structural relaxation at the PBE level of DFT.

Cell and atoms, written as CIF:
```
data_Sb2TePtI
_chemical_formula_sum 'Sb2 Te1 Pt1 I1'
_cell_length_a 5.3458
_cell_length_b 5.3458
_cell_length_c 5.4107
_cell_angle_alpha 90.00
_cell_angle_beta 90.00
_cell_angle_gamma 90.00
_symmetry_space_group_name_H-M 'P 4/m m m'
_symmetry_Int_Tables_number 123
_symmetry_space_group_name_Hall '-P 4 2'
loop_
_atom_site_label
_atom_site_type_symbol
_atom_site_fract_x
_atom_site_fract_y
_atom_site_fract_z
_atom_site_occupancy
Sb1 Sb 0.0000 0.5000 0.0000 1
Te1 Te 0.0000 0.0000 0.5000 1
Pt1 Pt 0.0000 0.0000 0.0000 1
I1 I 0.5000 0.5000 0.5000 1
```

Results
Energy ... -3.465 eV per atom
Energy above the lowest structure with this stoichiometry ... 4 meV/atom
Uncorrected formation energy ... 159 kJ/mol of formula units



Computed, not measured: SbTePtI2 after structural relaxation at the PBE level of DFT.

Cell and atoms, written as CIF:
```
data_SbTePtI2
_chemical_formula_sum 'Sb1 Te1 Pt1 I2'
_cell_length_a 5.3926
_cell_length_b 5.3926
_cell_length_c 5.4060
_cell_angle_alpha 90.00
_cell_angle_beta 90.00
_cell_angle_gamma 90.00
_symmetry_space_group_name_H-M 'P 4/m m m'
_symmetry_Int_Tables_number 123
_symmetry_space_group_name_Hall '-P 4 2'
loop_
_atom_site_label
_atom_site_type_symbol
_atom_site_fract_x
_atom_site_fract_y
_atom_site_fract_z
_atom_site_occupancy
Sb1 Sb 0.0000 0.0000 0.0000 1
Te1 Te 0.5000 0.5000 0.0000 1
Pt1 Pt 0.5000 0.5000 0.5000 1
I1 I 0.0000 0.5000 0.5000 1
```

Results
Energy ... -2.968 eV per atom
Energy above the lowest structure with this stoichiometry ... 0 meV/atom
Uncorrected formation energy ... 151 kJ/mol of formula units



Computed, not measured: SbTePtI2 after structural relaxation at the PBE level of DFT.

Cell and atoms, written as CIF:
```
data_SbTePtI2
_chemical_formula_sum 'Sb1 Te1 Pt1 I2'
_cell_length_a 5.4294
_cell_length_b 5.4294
_cell_length_c 5.3466
_cell_angle_alpha 90.00
_cell_angle_beta 90.00
_cell_angle_gamma 90.00
_symmetry_space_group_name_H-M 'P 4/m m m'
_symmetry_Int_Tables_number 123
_symmetry_space_group_name_Hall '-P 4 2'
loop_
_atom_site_label
_atom_site_type_symbol
_atom_site_fract_x
_atom_site_fract_y
_atom_site_fract_z
_atom_site_occupancy
Sb1 Sb 0.0000 0.0000 0.0000 1
Te1 Te 0.5000 0.5000 0.0000 1
Pt1 Pt 0.0000 0.0000 0.5000 1
I1 I 0.0000 0.5000 0.5000 1
```

Results
Energy ... -2.968 eV per atom
Energy above the lowest structure with this stoichiometry ... 0 meV/atom
Uncorrected formation energy ... 151 kJ/mol of formula units



Computed, not measured: Sb2TePtI after structural relaxation at the PBE level of DFT.

Cell and atoms, written as CIF:
```
data_Sb2TePtI
_chemical_formula_sum 'Sb2 Te1 Pt1 I1'
_cell_length_a 5.3333
_cell_length_b 5.3333
_cell_length_c 5.3813
_cell_angle_alpha 90.00
_cell_angle_beta 90.00
_cell_angle_gamma 90.00
_symmetry_space_group_name_H-M 'P 4/m m m'
_symmetry_Int_Tables_number 123
_symmetry_space_group_name_Hall '-P 4 2'
loop_
_atom_site_label
_atom_site_type_symbol
_atom_site_fract_x
_atom_site_fract_y
_atom_site_fract_z
_atom_site_occupancy
Sb1 Sb 0.0000 0.5000 0.0000 1
Te1 Te 0.0000 0.0000 0.5000 1
Pt1 Pt 0.5000 0.5000 0.0000 1
I1 I 0.5000 0.5000 0.5000 1
```

Results
Energy ... -3.469 eV per atom
Energy above the lowest structure with this stoichiometry ... 0 meV/atom
Uncorrected formation energy ... 157 kJ/mol of formula units